Here is a geometry-optimized BaThGa2 structure from Alexandria. Energies are from PBE.

Output
crystal system = tetragonal
symmetry = P4/mmm (123)

Cell: 3.9824 3.9824 7.4695 Å, 90.00 90.00 90.00°
Closest atoms and distances in Å follow each position.
Atoms (fractional coordinates):
Ba  0.5000  0.5000  0.5000  8 Ga 3.62, 2 Th 3.73, 4 Ba 3.98
Ga  0.0000  0.0000  0.1944  1 Ga 2.90, 4 Th 3.17
Ga  0.0000  0.0000  0.8056  1 Ga 2.90, 4 Th 3.17
Th  0.5000  0.5000  0.0000  8 Ga 3.17

Here is a geometry-optimized BaThGa4 structure from Alexandria. Energies are from PBE.

Output
crystal system = cubic
symmetry = F-43m (216)

Cell: 5.7904 5.7904 5.7904 Å, 60.00 60.00 60.00°
Closest atoms and distances in Å follow each position.
Atoms (fractional coordinates):
Ga  0.6258  0.6258  0.1227  6 Ga 2.88-2.91
Ga  0.6258  0.1227  0.6258  6 Ga 2.88-2.91
Ga  0.1227  0.6258  0.6258  6 Ga 2.88-2.91
Th  0.0000  0.0000  0.0000  12 Ga 3.39, 4 Ba 3.55
Ga  0.6258  0.6258  0.6258  6 Ga 2.88-2.91
Ba  0.2500  0.2500  0.2500  12 Ga 3.40, 4 Th 3.55

Number 1: energy of formation from the pure elements -0.3255 eV/atom, total magnetization 0.000 μB/atom. Number 2: energy of formation from the pure elements -0.3182 eV/atom, total magnetization 0.000 μB/atom.